Density functional theory data (PBE) for crystalline Ta2CdPt at its relaxed geometry.

Cell lengths 4.0845, 4.0885, 4.2304 Å; angles 90.00, 90.00, 90.00 degrees
Last column: nearest neighbours and their distance in Å.
Sites, in units of the cell vectors:
Pt  0.0000  0.5000  0.5000  4 Cd 2.89, 8 Ta 2.94
Ta  0.0000  0.0000  0.0000  4 Ta 2.89, 4 Cd 2.94, 4 Pt 2.94
Ta  0.5000  0.5000  0.0000  4 Ta 2.89, 4 Pt 2.94, 4 Cd 2.94
Cd  0.5000  0.0000  0.5000  4 Pt 2.89, 8 Ta 2.94

Output
Crystal system: tetragonal
Total magnetic moment (μB/f.u.): 0.00
Space group: No. 123
Calculated formation energy (meV/atom): -78.2
Total DFT energy (no corrections) (eV/atom): -7.74